## Pm11Cd9Pt4 (GGA-PBE)

Data for crystalline Pm11Cd9Pt4 at its relaxed geometry.

Summary:
- Calculated total energy: -100.00 eV for the cell shown
- Space-group type: Cmmm (65)

Unit cell a=13.460 b=13.460 c=3.762 alpha=90.00 beta=90.00 gamma=112.80
Fractional positions:
Pm1 0.000 0.000 0.000
Pm2 0.074 0.414 0.000
Pm3 0.163 0.837 0.000
Pm4 0.305 0.305 0.000
Pm5 0.372 0.628 0.000
Pm6 0.414 0.074 0.000
Pm7 0.586 0.926 0.000
Pm8 0.628 0.372 0.000
Pm9 0.695 0.695 0.000
Pm10 0.837 0.163 0.000
Pm11 0.926 0.586 0.000
Cd1 0.071 0.214 0.500
Cd2 0.158 0.635 0.500
Cd3 0.214 0.071 0.500
Cd4 0.365 0.842 0.500
Cd5 0.500 0.500 0.500
Cd6 0.635 0.158 0.500
Cd7 0.786 0.929 0.500
Cd8 0.842 0.365 0.500
Cd9 0.929 0.786 0.500
Pt1 0.249 0.449 0.500
Pt2 0.449 0.249 0.500
Pt3 0.551 0.751 0.500
Pt4 0.751 0.551 0.500